Model i:
Material: TlSb2TePt
Method: DFT, GGA-PBE
State: relaxed

Unit cell a=5.585 b=5.585 c=5.619 alpha=90.00 beta=90.00 gamma=90.00
Space group P4/mmm (No. 123)
Asymmetric unit:
Tl (0.000, 0.000, 0.000) x1
Sb (0.000, 0.500, 0.000) x2
Te (0.000, 0.000, 0.500) x1
Pt (0.500, 0.500, 0.500) x1

Calculated volume   175 Å³/f.u.
Total moment   0.0 μB per formula unit

---

Model ii:
Material: TlSb2TePt
Method: DFT, GGA-PBE
State: relaxed

Unit cell a=5.255 b=5.255 c=5.755 alpha=90.00 beta=90.00 gamma=90.00
Space group P4/mmm (No. 123)
Asymmetric unit:
Tl (0.000, 0.000, 0.000) x1
Sb (0.000, 0.500, 0.500) x2
Te (0.500, 0.500, 0.000) x1
Pt (0.500, 0.500, 0.500) x1

Calculated volume   159 Å³/f.u.
Total moment   0.0 μB per formula unit

---

Energies relative to the most stable structure, in kJ/mol of atoms: model i 115.5; model ii 0.0.

---

Model i:
Material: VSb2TePt
Method: DFT, GGA-PBE
State: relaxed

Unit cell a=5.164 b=5.164 c=5.506 alpha=90.00 beta=90.00 gamma=90.00
Space group P4/mmm (No. 123)
Asymmetric unit:
V (0.000, 0.000, 0.000) x1
Sb (0.000, 0.500, 0.500) x2
Te (0.500, 0.500, 0.000) x1
Pt (0.500, 0.500, 0.500) x1

Calculated volume   147 Å³/f.u.
Total moment   3.3 μB per formula unit

---

Model ii:
Material: VSb2TePt
Method: DFT, GGA-PBE
State: relaxed

Unit cell a=5.034 b=5.034 c=4.983 alpha=90.00 beta=90.00 gamma=90.00
Space group P4/mmm (No. 123)
Asymmetric unit:
V (0.000, 0.000, 0.000) x1
Sb (0.000, 0.500, 0.000) x2
Te (0.000, 0.000, 0.500) x1
Pt (0.500, 0.500, 0.500) x1

Calculated volume   126 Å³/f.u.
Total moment   0.0 μB per formula unit

---

Energies relative to the most stable structure, in kJ/mol of atoms: model i 14.4; model ii 0.0.

---

Model i:
Material: Sb2TePtW
Method: DFT, GGA-PBE
State: relaxed

Unit cell a=5.205 b=5.205 c=5.126 alpha=90.00 beta=90.00 gamma=90.00
Space group P4/mmm (No. 123)
Asymmetric unit:
Sb (0.000, 0.500, 0.000) x2
Te (0.000, 0.000, 0.500) x1
Pt (0.500, 0.500, 0.500) x1
W (0.000, 0.000, 0.000) x1

Calculated volume   139 Å³/f.u.
Total moment   0.0 μB per formula unit

---

Model ii:
Material: Sb2TePtW
Method: DFT, GGA-PBE
State: relaxed

Unit cell a=5.135 b=5.135 c=5.337 alpha=90.00 beta=90.00 gamma=90.00
Space group P4/mmm (No. 123)
Asymmetric unit:
Sb (0.000, 0.500, 0.000) x2
Te (0.000, 0.000, 0.500) x1
Pt (0.000, 0.000, 0.000) x1
W (0.500, 0.500, 0.500) x1

Calculated volume   141 Å³/f.u.
Total moment   2.8 μB per formula unit

---

Energies relative to the most stable structure, in kJ/mol of atoms: model i 0.0; model ii 31.4.

---

Model i:
Material: YSb2TePt
Method: DFT, GGA-PBE
State: relaxed

Unit cell a=5.723 b=5.723 c=5.615 alpha=90.00 beta=90.00 gamma=90.00
Space group P4/mmm (No. 123)
Asymmetric unit:
Y (0.000, 0.000, 0.000) x1
Sb (0.000, 0.500, 0.000) x2
Te (0.000, 0.000, 0.500) x1
Pt (0.500, 0.500, 0.500) x1

Calculated volume   184 Å³/f.u.
Total moment   0.0 μB per formula unit

---

Model ii:
Material: YSb2TePt
Method: DFT, GGA-PBE
State: relaxed

Unit cell a=5.219 b=5.219 c=5.447 alpha=90.00 beta=90.00 gamma=90.00
Space group P4/mmm (No. 123)
Asymmetric unit:
Y (0.000, 0.000, 0.000) x1
Sb (0.000, 0.500, 0.500) x2
Te (0.500, 0.500, 0.000) x1
Pt (0.500, 0.500, 0.500) x1

Calculated volume   148 Å³/f.u.
Total moment   0.0 μB per formula unit

---

Energies relative to the most stable structure, in kJ/mol of atoms: model i 84.9; model ii 0.0.

---

Model i:
Material: ZnSb2TePt
Method: DFT, GGA-PBE
State: relaxed

Unit cell a=5.217 b=5.217 c=5.580 alpha=90.00 beta=90.00 gamma=90.00
Space group P4/mmm (No. 123)
Asymmetric unit:
Zn (0.000, 0.000, 0.000) x1
Sb (0.000, 0.500, 0.500) x2
Te (0.500, 0.500, 0.000) x1
Pt (0.500, 0.500, 0.500) x1

Calculated volume   152 Å³/f.u.
Total moment   0.0 μB per formula unit

---

Model ii:
Material: ZnSb2TePt
Method: DFT, GGA-PBE
State: relaxed

Unit cell a=5.063 b=5.063 c=5.182 alpha=90.00 beta=90.00 gamma=90.00
Space group P4/mmm (No. 123)
Asymmetric unit:
Zn (0.000, 0.000, 0.000) x1
Sb (0.000, 0.500, 0.000) x2
Te (0.000, 0.000, 0.500) x1
Pt (0.500, 0.500, 0.500) x1

Calculated volume   133 Å³/f.u.
Total moment   0.0 μB per formula unit

---

Energies relative to the most stable structure, in kJ/mol of atoms: model i 0.0; model ii 36.5.

---

Model i:
Material: ZnSbTe2Pt
Method: DFT, GGA-PBE
State: relaxed

Unit cell a=5.512 b=5.512 c=5.075 alpha=90.00 beta=90.00 gamma=90.00
Space group P4/mmm (No. 123)
Asymmetric unit:
Zn (0.000, 0.000, 0.000) x1
Sb (0.500, 0.500, 0.000) x1
Te (0.000, 0.500, 0.500) x2
Pt (0.500, 0.500, 0.500) x1

Calculated volume   154 Å³/f.u.
Total moment   0.0 μB per formula unit

---

Model ii:
Material: ZnSbTe2Pt
Method: DFT, GGA-PBE
State: relaxed

Unit cell a=5.177 b=5.177 c=5.058 alpha=90.00 beta=90.00 gamma=90.00
Space group P4/mmm (No. 123)
Asymmetric unit:
Zn (0.000, 0.000, 0.000) x1
Sb (0.000, 0.000, 0.500) x1
Te (0.000, 0.500, 0.000) x2
Pt (0.500, 0.500, 0.500) x1

Calculated volume   136 Å³/f.u.
Total moment   0.0 μB per formula unit

---

Energies relative to the most stable structure, in kJ/mol of atoms: model i 0.0; model ii 41.0.

---

Model i:
Material: Th3Sb2Pt
Method: DFT, GGA-PBE
State: relaxed

Unit cell a=7.595 b=13.083 c=7.791 alpha=90.00 beta=109.15 gamma=90.00
Space group C2/m (No. 12)
Asymmetric unit:
Th (0.218, 0.000, 0.222) x4
Th (0.245, 0.178, 0.769) x8
Sb (0.000, 0.000, 0.500) x2
Sb (0.000, 0.346, 0.500) x4
Sb (0.000, 0.500, 0.000) x2
Pt (0.000, 0.169, 0.000) x4

Calculated volume   183 Å³/f.u.
Total moment   0.0 μB per formula unit

---

Model ii:
Material: Th3Sb2Pt
Method: DFT, GGA-PBE
State: relaxed

Unit cell a=4.246 b=6.344 c=13.566 alpha=90.00 beta=90.00 gamma=90.00
Space group Immm (No. 71)
Asymmetric unit:
Th (0.000, 0.000, 0.000) x2
Th (0.000, 0.000, 0.354) x4
Sb (0.000, 0.500, 0.324) x4
Pt (0.000, 0.500, 0.000) x2

Calculated volume   183 Å³/f.u.
Total moment   0.0 μB per formula unit

---

Energies relative to the most stable structure, in kJ/mol of atoms: model i 0.0; model ii 1.7.

---

Model i:
Material: TiSbPt3
Method: DFT, GGA-PBE
State: relaxed

Unit cell a=4.744 b=4.744 c=4.744 alpha=90.00 beta=90.00 gamma=90.00
Space group Pm-3m (No. 221)
Asymmetric unit:
Ti (0.000, 0.000, 0.000) x1
Sb (0.500, 0.500, 0.500) x1
Pt (0.000, 0.000, 0.500) x3

Calculated volume   107 Å³/f.u.
Total moment   0.0 μB per formula unit

---

Model ii:
Material: TiSbPt3
Method: DFT, GGA-PBE
State: relaxed

Unit cell a=4.893 b=4.893 c=4.893 alpha=90.00 beta=90.00 gamma=90.00
Space group Pm-3m (No. 221)
Asymmetric unit:
Ti (0.000, 0.000, 0.000) x1
Sb (0.500, 0.500, 0.500) x1
Pt (0.000, 0.500, 0.500) x3

Calculated volume   117 Å³/f.u.
Total moment   0.2 μB per formula unit

---

Energies relative to the most stable structure, in kJ/mol of atoms: model i 0.0; model ii 33.6.